Computed, not measured: crystalline AlCd2Ag at its relaxed geometry at the PBEsol level of DFT.

energy of formation: 0.028 eV/atom
symmetry: Pmm2, No. 25
uncorrected energy: -2.4212 eV per atom
total moment: 0.00 μB/f.u.

Unit cell a=2.961 b=4.810 c=5.148 alpha=90.00 beta=90.00 gamma=90.00
Fractional coordinates of all 4 atoms:
Al: 0.000 0.000 0.000
Cd: 0.500 0.000 0.486
Cd: 0.500 0.500 0.818
Ag: 0.000 0.500 0.306